(1)
VASP calculation (PBE-GGA) on a relaxed K2BaCl crystal.

```
K2BaCl
1.0
-3.6940 -2.6211 1.4453
0.3166 -2.9526 -4.5455
5.0991 -5.1468 3.6984
Ba Cl K
1 1 2
direct
0.5000 0.0000 0.5000 Ba
0.0000 0.5000 0.5000 Cl
0.5000 0.5000 0.0000 K
0.0000 0.0000 0.0000 K
```

## Properties
The density of states at the Fermi level comes out at 3.42 states/eV per cell. The calculation puts the polymorph energy (0 for the lowest one) at 301 meV/atom.

(2)
VASP calculation (PBE-GGA) on a relaxed KBaCl2 crystal.

```
KBaCl2
1.0
-6.4461 -4.8317 4.9239
-0.8269 -6.4588 6.8369
3.2955 7.9542 -3.8746
Cl K Ba
2 1 1
direct
0.0692 0.0692 0.0000 Cl
0.7376 0.2376 0.5000 Cl
0.4838 0.4838 0.0000 K
0.2094 0.7094 0.5000 Ba
```

## Properties
The density of states at the Fermi level comes out at 1.59 states/eV per cell. The calculation puts the polymorph energy (0 for the lowest one) at 76 meV/atom.

(3)
VASP calculation (PBE-GGA) on a relaxed K2BaCl crystal.

```
K2BaCl
1.0
-2.6795 -0.0815 -3.7683
-4.2377 -5.8960 3.1409
-6.4462 -0.0480 4.5847
K Cl Ba
2 1 1
direct
0.0000 0.9160 0.9164 K
0.0000 0.5840 0.5836 K
0.5000 0.7500 0.7500 Cl
0.5000 0.2500 0.2500 Ba
```

## Properties
The density of states at the Fermi level comes out at 2.85 states/eV per cell. The calculation puts the polymorph energy (0 for the lowest one) at 43 meV/atom.

(4)
VASP calculation (PBE-GGA) on a relaxed K2BaCl crystal.

```
K2BaCl
1.0
7.7888 0.1381 0.0000
3.6707 6.8710 0.0000
-5.7297 -3.5045 3.9462
K Ba Cl
2 1 1
direct
0.0000 0.0000 0.0000 K
0.2500 0.7500 0.5000 K
0.5000 0.5000 0.0000 Ba
0.7500 0.2500 0.5000 Cl
```

## Properties
The density of states at the Fermi level comes out at 2.76 states/eV per cell. The calculation puts the polymorph energy (0 for the lowest one) at 412 meV/atom.

(5)
VASP calculation (PBE-GGA) on a relaxed K2BaCl crystal.

```
K2BaCl
1.0
-2.9768 1.2704 -3.1061
-1.5027 -2.9586 -3.0185
-10.4055 -3.5150 5.4100
Cl Ba K
1 1 2
direct
0.2497 0.2497 0.2459 Cl
0.5256 0.5256 0.4261 Ba
0.9701 0.9701 0.0794 K
0.7546 0.7546 0.7487 K
```

## Properties
The density of states at the Fermi level comes out at 3.17 states/eV per cell. The calculation puts the polymorph energy (0 for the lowest one) at 15 meV/atom.

(6)
VASP calculation (PBE-GGA) on a relaxed KBaLaCl6 crystal.

```
KBaLaCl6
1.0
-2.5885 -6.4657 3.2865
7.3475 2.1139 0.9231
-3.2517 6.6810 10.5827
Cl Ba La K
12 2 2 2
direct
0.9643 0.3230 0.1298 Cl
0.0357 0.6770 0.8702 Cl
0.3230 0.9643 0.6298 Cl
0.6413 0.9643 0.8702 Cl
0.9643 0.6413 0.3702 Cl
0.3230 0.3587 0.8702 Cl
0.0357 0.3587 0.6298 Cl
0.3587 0.0357 0.1298 Cl
0.3587 0.3230 0.3702 Cl
0.6413 0.6770 0.6298 Cl
0.6770 0.6413 0.1298 Cl
0.6770 0.0357 0.3702 Cl
0.0000 0.0000 0.5000 Ba
0.0000 0.0000 0.0000 Ba
0.3333 0.6667 0.7500 La
0.6667 0.3333 0.2500 La
0.6667 0.3333 0.7500 K
0.3333 0.6667 0.2500 K
```

## Properties
The density of states at the Fermi level comes out at 0.00 states/eV per cell. As for the energy: -39.99 eV/f.u.

(7)
VASP calculation (PBE-GGA) on a relaxed KBaLiCl4 crystal.

```
KBaLiCl4
1.0
6.9354 0.0000 -0.1301
0.0000 7.0282 0.0000
-2.8733 0.0000 8.3785
Cl Li K Ba
8 2 2 2
direct
0.5816 0.2500 0.4171 Cl
0.9928 0.4978 0.7756 Cl
0.0072 0.9978 0.2244 Cl
0.5634 0.2500 0.8726 Cl
0.0072 0.5022 0.2244 Cl
0.9928 0.0022 0.7756 Cl
0.4366 0.7500 0.1274 Cl
0.4184 0.7500 0.5829 Cl
0.2484 0.7500 0.3066 Li
0.7516 0.2500 0.6934 Li
0.1954 0.2500 0.5434 K
0.8046 0.7500 0.4566 K
0.7296 0.7500 0.9278 Ba
0.2704 0.2500 0.0722 Ba
```

## Properties
The density of states at the Fermi level comes out at 0.00 states/eV per cell. As for the energy: -27.28 eV/f.u.

(8)
VASP calculation (PBE-GGA) on a relaxed KBa2LiCl6 crystal.

```
KBa2LiCl6
1.0
7.1881 0.0000 -0.0044
0.0000 8.0162 0.0000
0.0560 0.0000 10.2803
Cl K Ba Li
12 2 4 2
direct
0.8400 0.8012 0.9248 Cl
0.6600 0.3012 0.5752 Cl
0.2015 0.1681 0.4421 Cl
0.3637 0.9490 0.7258 Cl
0.8637 0.5510 0.2258 Cl
0.1600 0.1988 0.0752 Cl
0.7015 0.3319 0.9421 Cl
0.3400 0.6988 0.4248 Cl
0.6363 0.0510 0.2742 Cl
0.2985 0.6681 0.0579 Cl
0.1363 0.4490 0.7742 Cl
0.7985 0.8319 0.5579 Cl
0.5000 0.0000 0.0000 K
0.0000 0.5000 0.5000 K
0.0329 0.9036 0.2532 Ba
0.9671 0.0964 0.7468 Ba
0.4671 0.4036 0.2468 Ba
0.5329 0.5964 0.7532 Ba
0.0000 0.5000 0.0000 Li
0.5000 0.0000 0.5000 Li
```

## Properties
The density of states at the Fermi level comes out at 0.00 states/eV per cell. As for the energy: -40.23 eV/f.u.

(9)
VASP calculation (PBE-GGA) on a relaxed K2BaMgCl6 crystal.

```
K2BaMgCl6
1.0
7.4135 0.0000 -0.0761
0.0000 7.7473 0.0000
-0.0451 0.0000 10.6376
Cl K Ba Mg
12 4 2 2
direct
0.8857 0.5413 0.2231 Cl
0.2747 0.6801 0.0554 Cl
0.7253 0.3199 0.9446 Cl
0.3857 0.9587 0.7231 Cl
0.6143 0.0413 0.2769 Cl
0.3275 0.7253 0.4347 Cl
0.6725 0.2747 0.5653 Cl
0.1725 0.2253 0.0653 Cl
0.7747 0.8199 0.5554 Cl
0.8275 0.7747 0.9347 Cl
0.2253 0.1801 0.4446 Cl
0.1143 0.4587 0.7769 Cl
0.4748 0.4321 0.2509 K
0.9748 0.0679 0.7509 K
0.0252 0.9321 0.2491 K
0.5252 0.5679 0.7491 K
0.5000 0.0000 0.0000 Ba
0.0000 0.5000 0.5000 Ba
0.5000 0.0000 0.5000 Mg
0.0000 0.5000 0.0000 Mg
```

## Properties
The density of states at the Fermi level comes out at 0.00 states/eV per cell. As for the energy: -37.54 eV/f.u.

(10)
VASP calculation (PBE-GGA) on a relaxed K2BaMnCl6 crystal.

```
K2BaMnCl6
1.0
7.4068 0.0000 -0.1328
0.0000 7.7383 0.0000
-0.1264 0.0000 10.7114
Cl K Ba Mn
12 4 2 2
direct
0.1149 0.4615 0.7761 Cl
0.6149 0.0385 0.2761 Cl
0.2242 0.1786 0.4419 Cl
0.6721 0.2787 0.5640 Cl
0.2758 0.6786 0.0581 Cl
0.1721 0.2213 0.0640 Cl
0.8851 0.5385 0.2239 Cl
0.3851 0.9615 0.7239 Cl
0.7758 0.8214 0.5581 Cl
0.8279 0.7787 0.9360 Cl
0.7242 0.3214 0.9419 Cl
0.3279 0.7213 0.4360 Cl
0.0262 0.9289 0.2447 K
0.4738 0.4289 0.2553 K
0.9738 0.0711 0.7553 K
0.5262 0.5711 0.7447 K
0.5000 0.0000 0.0000 Ba
0.0000 0.5000 0.5000 Ba
0.5000 0.0000 0.5000 Mn
0.0000 0.5000 0.0000 Mn
```

## Properties
The density of states at the Fermi level comes out at 0.00 states/eV per cell. As for the energy: -42.84 eV/f.u.

(11)
VASP calculation (PBE-GGA) on a relaxed KBa2NaCl crystal.

```
KBa2NaCl
1.0
-2.5513 5.7297 -0.6980
-5.6579 -2.3314 1.5423
1.2047 1.3174 6.4109
K Ba Na Cl
1 2 1 1
direct
0.5000 0.5000 0.5000 K
0.5000 0.0000 0.0000 Ba
0.0000 0.5000 0.0000 Ba
0.0000 0.0000 0.5000 Na
0.0000 0.0000 0.0000 Cl
```

## Properties
The density of states at the Fermi level comes out at 5.65 states/eV per cell. The calculation puts the polymorph energy (0 for the lowest one) at 42 meV/atom.

(12)
VASP calculation (PBE-GGA) on a relaxed KBa2NaCl crystal.

```
KBa2NaCl
1.0
6.3593 0.0000 0.0000
0.0000 6.3593 0.0000
0.0000 0.0000 6.3389
Na Ba Cl K
1 2 1 1
direct
0.5000 0.5000 0.5000 Na
0.0000 0.5000 0.0000 Ba
0.5000 0.0000 0.0000 Ba
0.0000 0.0000 0.0000 Cl
0.0000 0.0000 0.5000 K
```

## Properties
The density of states at the Fermi level comes out at 5.93 states/eV per cell. The calculation puts the polymorph energy (0 for the lowest one) at 0 meV/atom.

(13)
VASP calculation (PBE-GGA) on a relaxed K2BaNaCl crystal.

```
K2BaNaCl
1.0
6.3675 0.0000 0.0000
0.0000 6.3675 0.0000
0.0000 0.0000 6.3454
K Cl Ba Na
2 1 1 1
direct
0.5000 0.0000 0.0000 K
0.0000 0.5000 0.0000 K
0.0000 0.0000 0.0000 Cl
0.0000 0.0000 0.5000 Ba
0.5000 0.5000 0.5000 Na
```

## Properties
The density of states at the Fermi level comes out at 4.07 states/eV per cell. As for the energy: -10.59 eV/f.u.

(14)
VASP calculation (PBE-GGA) on a relaxed K2BaNiCl8 crystal.

```
K2BaNiCl8
1.0
-1.8422 2.7273 5.8523
3.7033 -5.6002 -0.0761
6.7712 4.4771 0.0450
Ni Cl K Ba
1 8 2 1
direct
0.0000 0.0000 0.0000 Ni
0.3333 0.6667 0.4797 Cl
0.1561 0.8439 0.1671 Cl
0.8439 0.6877 0.8329 Cl
0.6667 0.3333 0.5203 Cl
0.3123 0.1561 0.8329 Cl
0.8439 0.1561 0.8329 Cl
0.6877 0.8439 0.1671 Cl
0.1561 0.3123 0.1671 Cl
0.3333 0.6667 0.8513 K
0.6667 0.3333 0.1487 K
0.0000 0.0000 0.5000 Ba
```

## Properties
As for the energy: -41.50 eV/f.u.

(15)
VASP calculation (PBE-GGA) on a relaxed K2BaNpCl8 crystal.

```
K2BaNpCl8
1.0
5.4514 -0.5504 -0.0025
-0.5533 7.4632 -0.0087
0.0057 0.0106 9.7145
Cl Ba K Np
8 1 2 1
direct
0.0613 0.7824 0.7901 Cl
0.5675 0.7889 0.0000 Cl
0.5191 0.2419 0.5000 Cl
0.4325 0.2111 0.0000 Cl
0.0613 0.7824 0.2099 Cl
0.9387 0.2176 0.2099 Cl
0.4809 0.7581 0.5000 Cl
0.9387 0.2176 0.7901 Cl
0.0000 0.0000 0.5000 Ba
0.5000 0.5000 0.2524 K
0.5000 0.5000 0.7476 K
0.0000 0.0000 0.0000 Np
```

## Properties
The density of states at the Fermi level comes out at 4.51 states/eV per cell. As for the energy: -55.29 eV/f.u.

(16)
VASP calculation (PBE-GGA) on a relaxed KBaClO crystal.

```
KBaClO
1.0
-2.4257 -2.7346 -1.6500
1.0495 -3.8708 -0.0019
-3.9920 -3.1631 6.2373
Ba O Cl K
1 1 1 1
direct
0.3500 0.3500 0.9501 Ba
0.6328 0.6328 0.1017 O
0.7870 0.7870 0.6390 Cl
0.2089 0.2089 0.3732 K
```

## Properties
The density of states at the Fermi level comes out at 0.00 states/eV per cell. As for the energy: -18.04 eV/f.u.

(17)
VASP calculation (PBE-GGA) on a relaxed K3Ba2Cl3O2 crystal.

```
K3Ba2Cl3O2
1.0
5.0037 0.0000 0.0000
0.0000 5.0037 0.0000
-2.5019 -2.5019 12.8012
O Cl K Ba
2 3 3 2
direct
0.2187 0.2187 0.4375 O
0.7813 0.7813 0.5625 O
0.0000 0.0000 0.0000 Cl
0.3726 0.3726 0.7451 Cl
0.6274 0.6274 0.2549 Cl
0.1186 0.1186 0.2373 K
0.5000 0.5000 0.0000 K
0.8814 0.8814 0.7627 K
0.7500 0.2500 0.5000 Ba
0.2500 0.7500 0.5000 Ba
```

## Properties
The density of states at the Fermi level comes out at 0.00 states/eV per cell. As for the energy: -42.97 eV/f.u.

(18)
VASP calculation (PBE-GGA) on a relaxed KBaP2Cl crystal.

```
KBaP2Cl
1.0
-2.2927 3.2941 4.8779
-5.1478 1.4160 -3.3758
-2.7018 -4.9234 2.0549
P Ba K Cl
2 1 1 1
direct
0.5000 0.0000 0.0000 P
0.0000 0.5000 0.0000 P
0.0000 0.0000 0.0000 Ba
0.5000 0.5000 0.5000 K
0.0000 0.0000 0.5000 Cl
```

## Properties
The density of states at the Fermi level comes out at 2.19 states/eV per cell. The calculation puts the polymorph energy (0 for the lowest one) at 0 meV/atom.

(19)
VASP calculation (PBE-GGA) on a relaxed KBaP2Cl crystal.

```
KBaP2Cl
1.0
5.4360 0.0000 0.0000
0.0000 5.4360 0.0000
0.0000 0.0000 5.6255
Ba P Cl K
1 2 1 1
direct
0.5000 0.5000 0.5000 Ba
0.5000 0.0000 0.0000 P
0.0000 0.5000 0.0000 P
0.0000 0.0000 0.5000 Cl
0.0000 0.0000 0.0000 K
```

## Properties
The density of states at the Fermi level comes out at 5.26 states/eV per cell. The calculation puts the polymorph energy (0 for the lowest one) at 208 meV/atom.

(20)
VASP calculation (PBE-GGA) on a relaxed K2BaPbCl6 crystal.

```
K2BaPbCl6
1.0
-2.9206 -5.9952 3.8381
2.5678 -5.0075 -5.8678
9.7244 -1.1817 5.2639
Cl K Pb Ba
12 4 2 2
direct
0.6832 0.2977 0.5752 Cl
0.8015 0.8097 0.5728 Cl
0.6985 0.3097 0.9272 Cl
0.3168 0.7023 0.4248 Cl
0.1832 0.2023 0.0752 Cl
0.1383 0.4373 0.7588 Cl
0.8168 0.7977 0.9248 Cl
0.8617 0.5627 0.2412 Cl
0.1985 0.1903 0.4272 Cl
0.6383 0.0627 0.2588 Cl
0.3015 0.6903 0.0728 Cl
0.3617 0.9373 0.7412 Cl
0.9719 0.0735 0.7510 K
0.5281 0.5735 0.7490 K
0.0281 0.9265 0.2490 K
0.4719 0.4265 0.2510 K
0.0000 0.5000 0.0000 Pb
0.5000 0.0000 0.5000 Pb
0.0000 0.5000 0.5000 Ba
0.5000 0.0000 0.0000 Ba
```

## Properties
The density of states at the Fermi level comes out at 0.00 states/eV per cell. As for the energy: -37.71 eV/f.u.